[1]
Computed, not measured: an optimized crystal structure of K17Hg12 at the PBE-GGA level of DFT.

Computed properties:
Density of states at the Fermi level, states/eV per atom: 0.52
Calculated volume, Å³/cell: 1181.11
Raw total energy, eV per cell: -26.5

a = 11.534 Å, b = 11.534 Å, c = 11.534 Å
α = 109.47°, β = 109.47°, γ = 109.47°
Positions (direct):
K 0.000 0.000 0.314
K 0.414 0.414 0.712
K 0.314 0.000 0.000
K 0.414 0.712 0.414
K 0.701 0.288 0.701
K 0.686 0.686 0.686
K 0.586 0.299 0.000
K 0.000 0.586 0.299
K 0.299 0.000 0.586
K 0.000 0.314 0.000
K 0.299 0.586 0.000
K 0.000 0.000 0.000
K 0.000 0.299 0.586
K 0.701 0.701 0.288
K 0.586 0.000 0.299
K 0.288 0.701 0.701
K 0.712 0.414 0.414
Hg 0.362 0.362 0.170
Hg 0.000 0.638 0.808
Hg 0.638 0.808 0.000
Hg 0.638 0.000 0.808
Hg 0.808 0.638 0.000
Hg 0.170 0.362 0.362
Hg 0.808 0.000 0.638
Hg 0.192 0.192 0.830
Hg 0.830 0.192 0.192
Hg 0.000 0.808 0.638
Hg 0.362 0.170 0.362
Hg 0.192 0.830 0.192

***

[2]
Computed, not measured: an optimized crystal structure of K5Hg6 at the PBE-GGA level of DFT.

Computed properties:
Density of states at the Fermi level, states/eV per atom: 0.53
Calculated volume, Å³/cell: 424.21
Raw total energy, eV per cell: -10.1

a = 4.724 Å, b = 5.191 Å, c = 17.492 Å
α = 98.53°, β = 90.00°, γ = 90.00°
Positions (direct):
Hg 0.500 0.091 0.182
Hg 0.000 0.274 0.548
Hg 0.500 0.909 0.818
Hg 0.000 0.726 0.452
Hg 0.500 0.543 0.087
Hg 0.500 0.457 0.913
K 0.000 0.381 0.762
K 0.500 0.804 0.608
K 0.000 0.619 0.238
K 0.500 0.196 0.392
K 0.000 0.000 0.000